[1]
DFT (PBE-GGA) results for crystalline Sb2C at its relaxed geometry.

Output
Crystal system: tetragonal
Energy relative to the elements, uncorrected (eV per atom): 1.492
Magnetization (μB/atom): 0.00
Space group: No. 141

Cell and atoms, written as POSCAR:
```
Sb2C
1.0
-1.6067 1.6067 12.5166
1.6067 -1.6067 12.5166
1.6067 1.6067 -12.5166
Sb C
4 2
Direct
0.5562 0.5562 0.0000
0.1938 0.6938 0.5000
0.4438 0.4438 0.0000
0.3062 0.8062 0.5000
0.0000 0.0000 0.0000
0.7500 0.2500 0.5000
```



[2]
DFT (PBE-GGA) results for crystalline SbC at its relaxed geometry.

Output
Crystal system: orthorhombic
Energy relative to the elements, uncorrected (eV per atom): 1.403
Magnetization (μB/atom): 0.00
Space group: No. 19

Cell and atoms, written as POSCAR:
```
SbC
1.0
-0.8817 5.2918 -1.8471
0.9644 -1.7556 -5.4902
-8.0428 -1.6491 -0.8854
Sb C
8 8
Direct
0.7675 0.0366 0.9723
0.2675 0.4634 0.0277
0.2325 0.5366 0.5277
0.7325 0.9634 0.4723
0.2670 0.9754 0.7740
0.7670 0.5246 0.2260
0.7330 0.4754 0.7260
0.2330 0.0246 0.2740
0.3925 0.1076 0.0264
0.8925 0.3924 0.9736
0.6075 0.6076 0.4736
0.1075 0.8924 0.5264
0.3847 0.6165 0.7974
0.8847 0.8835 0.2026
0.6153 0.1165 0.7026
0.1153 0.3835 0.2974
```



[3]
DFT (PBE-GGA) results for crystalline SbC2 at its relaxed geometry.

Output
Crystal system: trigonal
Energy relative to the elements, uncorrected (eV per atom): 0.935
Magnetization (μB/atom): 0.00
Space group: No. 160

Cell and atoms, written as POSCAR:
```
SbC2
1.0
-8.0631 -2.2694 2.8503
-6.7342 -2.4479 5.1910
-7.6965 -0.0672 4.3645
Sb C
1 2
Direct
0.0014 0.0014 0.0014
0.8326 0.8326 0.8326
0.4993 0.4993 0.4993
```



[4]
DFT (PBE-GGA) results for crystalline SbC at its relaxed geometry.

Output
Crystal system: cubic
Energy relative to the elements, uncorrected (eV per atom): 2.154
Magnetization (μB/atom): 0.25
Space group: No. 221

Cell and atoms, written as POSCAR:
```
SbC
1.0
4.7108 0.0000 0.0000
0.0000 4.7108 0.0000
0.0000 0.0000 4.7108
Sb C
3 3
Direct
0.0000 0.5000 0.0000
0.0000 0.0000 0.5000
0.5000 0.0000 0.0000
0.5000 0.0000 0.5000
0.5000 0.5000 0.0000
0.0000 0.5000 0.5000
```



[5]
DFT (PBE-GGA) results for crystalline SbC2 at its relaxed geometry.

Output
Crystal system: orthorhombic
Energy relative to the elements, uncorrected (eV per atom): 1.600
Magnetization (μB/atom): 0.00
Space group: No. 71

Cell and atoms, written as POSCAR:
```
SbC2
1.0
-1.6759 2.1503 6.5964
1.6759 -2.1503 6.5964
1.6759 2.1503 -6.5964
Sb C
2 4
Direct
0.1676 0.1676 0.0000
0.8324 0.8324 0.0000
0.2850 0.7850 0.5000
0.0486 0.5486 0.5000
0.9514 0.4514 0.5000
0.7150 0.2150 0.5000
```



[6]
DFT (PBE-GGA) results for crystalline Sb2C3 at its relaxed geometry.

Output
Crystal system: trigonal
Energy relative to the elements, uncorrected (eV per atom): 2.017
Magnetization (μB/atom): 0.00
Space group: No. 166

Cell and atoms, written as POSCAR:
```
Sb2C3
1.0
6.8241 -1.7029 -0.0013
6.8241 1.7029 -0.0013
6.3997 0.0000 2.9175
Sb C
2 3
Direct
0.4074 0.4074 0.4074
0.5926 0.5926 0.5926
0.0000 0.0000 0.0000
0.7904 0.7904 0.7904
0.2096 0.2096 0.2096
```



[7]
DFT (PBE-GGA) results for crystalline SbC3 at its relaxed geometry.

Output
Crystal system: monoclinic
Energy relative to the elements, uncorrected (eV per atom): 1.681
Magnetization (μB/atom): 0.00
Space group: No. 10

Cell and atoms, written as POSCAR:
```
SbC3
1.0
2.5282 0.0000 0.0000
0.0000 3.3291 0.1038
0.0000 3.0448 7.8215
Sb C
1 3
Direct
0.5000 0.2500 0.2500
0.0000 0.0437 0.7500
0.5000 0.7500 0.7500
0.0000 0.4563 0.7500
```



[8]
DFT (PBE-GGA) results for crystalline Sb6C7 at its relaxed geometry.

Output
Crystal system: trigonal
Energy relative to the elements, uncorrected (eV per atom): 1.362
Magnetization (μB/atom): 0.00
Space group: No. 166

Cell and atoms, written as POSCAR:
```
Sb6C7
1.0
-15.0359 1.0726 7.1083
-14.4979 -3.4914 7.4416
-12.7639 -0.7238 10.6918
Sb C
6 7
Direct
0.0505 0.0505 0.0505
0.9495 0.9495 0.9495
0.1903 0.1903 0.1903
0.8097 0.8097 0.8097
0.3112 0.3112 0.3112
0.6888 0.6888 0.6888
0.5558 0.5558 0.2492
0.2492 0.5558 0.5558
0.5558 0.2492 0.5558
0.4442 0.4442 0.7508
0.4442 0.7508 0.4442
0.7508 0.4442 0.4442
0.5000 0.5000 0.5000
```



[9]
DFT (PBE-GGA) results for crystalline Sb4C5 at its relaxed geometry.

Output
Crystal system: tetragonal
Energy relative to the elements, uncorrected (eV per atom): 1.216
Magnetization (μB/atom): 0.00
Space group: No. 139

Cell and atoms, written as POSCAR:
```
Sb4C5
1.0
-5.2626 5.2626 1.3708
5.2626 -5.2626 1.3708
5.2626 5.2626 -1.3708
Sb C
4 5
Direct
0.7704 0.0000 0.7704
0.2296 0.0000 0.2296
0.0000 0.2296 0.2296
0.0000 0.7704 0.7704
0.0000 0.0000 0.0000
0.7721 0.2279 0.0000
0.2279 0.7721 0.0000
0.2279 0.2279 0.4558
0.7721 0.7721 0.5442
```



[10]
DFT (PBE-GGA) results for crystalline SbC2 at its relaxed geometry.

Output
Crystal system: orthorhombic
Energy relative to the elements, uncorrected (eV per atom): 1.038
Magnetization (μB/atom): 0.00
Space group: No. 74

Cell and atoms, written as POSCAR:
```
SbC2
1.0
-1.5074 3.2763 6.5096
1.5074 -3.2763 6.5096
1.5074 3.2763 -6.5096
Sb C
2 4
Direct
0.7545 0.5045 0.2500
0.2455 0.4955 0.7500
0.1321 0.8821 0.2500
0.8679 0.1179 0.7500
0.0290 0.7790 0.2500
0.9710 0.2210 0.7500
```



[11]
DFT (PBE-GGA) results for crystalline Sb4C3 at its relaxed geometry.

Output
Crystal system: cubic
Energy relative to the elements, uncorrected (eV per atom): 1.023
Magnetization (μB/atom): 0.00
Space group: No. 215

Cell and atoms, written as POSCAR:
```
Sb4C3
1.0
5.0703 0.0000 0.0000
0.0000 5.0703 0.0000
0.0000 0.0000 5.0703
Sb C
4 3
Direct
0.2297 0.7703 0.2297
0.7703 0.2297 0.2297
0.7703 0.7703 0.7703
0.2297 0.2297 0.7703
0.5000 0.0000 0.5000
0.5000 0.5000 0.0000
0.0000 0.5000 0.5000
```



[12]
DFT (PBE-GGA) results for crystalline Sb3C at its relaxed geometry.

Output
Crystal system: orthorhombic
Energy relative to the elements, uncorrected (eV per atom): 0.761
Magnetization (μB/atom): 0.00
Space group: No. 59

Cell and atoms, written as POSCAR:
```
Sb3C
1.0
3.5579 0.0000 0.0000
0.0000 7.8011 0.0000
0.0000 0.0000 7.5079
Sb C
6 2
Direct
0.5000 0.4463 0.0000
0.0000 0.5537 0.5000
0.0000 0.1536 0.2687
0.0000 0.1536 0.7313
0.5000 0.8464 0.7687
0.5000 0.8464 0.2313
0.0000 0.2666 0.0000
0.5000 0.7334 0.5000
```



[13]
DFT (PBE-GGA) results for crystalline SbC at its relaxed geometry.

Output
Crystal system: hexagonal
Energy relative to the elements, uncorrected (eV per atom): 1.241
Magnetization (μB/atom): 0.00
Space group: No. 194

Cell and atoms, written as POSCAR:
```
SbC
1.0
-0.1465 5.4060 -0.2631
-2.9517 -2.6106 3.7131
4.6771 0.3186 3.9420
Sb C
4 4
Direct
0.0000 0.0000 0.2500
0.0000 0.0000 0.7500
0.3333 0.6667 0.7500
0.6667 0.3333 0.2500
0.3333 0.6667 0.1466
0.6667 0.3333 0.6466
0.6667 0.3333 0.8534
0.3333 0.6667 0.3534
```



[14]
DFT (PBE-GGA) results for crystalline SbC3 at its relaxed geometry.

Output
Crystal system: tetragonal
Energy relative to the elements, uncorrected (eV per atom): 1.530
Magnetization (μB/atom): 0.00
Space group: No. 115

Cell and atoms, written as POSCAR:
```
SbC3
1.0
-1.0040 0.9056 -2.3376
-1.9245 -1.8923 0.0934
-3.6620 3.8761 3.0744
Sb C
1 3
Direct
0.0000 0.5000 0.2916
0.0000 0.0000 0.9225
0.5000 0.0000 0.7917
0.5000 0.5000 0.6608
```



[15]
DFT (PBE-GGA) results for crystalline SbC at its relaxed geometry.

Output
Crystal system: trigonal
Energy relative to the elements, uncorrected (eV per atom): 1.140
Magnetization (μB/atom): 0.00
Space group: No. 166

Cell and atoms, written as POSCAR:
```
SbC
1.0
12.2755 0.0520 0.0303
11.9437 2.8351 0.0303
11.9437 1.4238 2.4519
Sb C
2 2
Direct
0.8821 0.8821 0.8821
0.1179 0.1179 0.1179
0.6667 0.6667 0.6667
0.3333 0.3333 0.3333
```



[16]
DFT (PBE-GGA) results for crystalline Sb2C at its relaxed geometry.

Output
Crystal system: orthorhombic
Energy relative to the elements, uncorrected (eV per atom): 1.451
Magnetization (μB/atom): 0.00
Space group: No. 63

Cell and atoms, written as POSCAR:
```
Sb2C
1.0
-2.0711 4.4694 4.2121
0.8327 -0.1394 -6.4260
-3.9346 -1.3708 -0.4801
Sb C
4 2
Direct
0.3445 0.1022 0.2500
0.6555 0.8978 0.7500
0.1022 0.3445 0.2500
0.8978 0.6555 0.7500
0.8019 0.8019 0.2500
0.1981 0.1981 0.7500
```



[17]
DFT (PBE-GGA) results for crystalline SbC at its relaxed geometry.

Output
Crystal system: orthorhombic
Energy relative to the elements, uncorrected (eV per atom): 0.860
Magnetization (μB/atom): 0.00
Space group: No. 51

Cell and atoms, written as POSCAR:
```
SbC
1.0
3.4703 0.0000 0.0000
0.0000 2.8106 0.0000
0.0000 0.0000 7.6707
Sb C
2 2
Direct
0.5000 0.0000 0.4157
0.5000 0.5000 0.9177
0.0000 0.0000 0.2155
0.0000 0.5000 0.1178
```



[18]
DFT (PBE-GGA) results for crystalline SbC at its relaxed geometry.

Output
Crystal system: orthorhombic
Energy relative to the elements, uncorrected (eV per atom): 1.357
Magnetization (μB/atom): 0.00
Space group: No. 44

Cell and atoms, written as POSCAR:
```
SbC
1.0
-0.2982 1.0488 -3.2988
-1.8523 -3.8146 -1.0453
-4.0450 1.7146 0.9107
Sb C
2 2
Direct
0.0000 0.0000 0.9746
0.5000 0.5000 0.4746
0.0000 0.5000 0.1602
0.5000 0.0000 0.6602
```



[19]
DFT (PBE-GGA) results for crystalline SbC2 at its relaxed geometry.

Output
Crystal system: hexagonal
Energy relative to the elements, uncorrected (eV per atom): 0.978
Magnetization (μB/atom): 0.00
Space group: No. 191

Cell and atoms, written as POSCAR:
```
SbC2
1.0
2.7072 0.0000 0.0000
-1.3536 2.3445 0.0000
0.0000 0.0000 9.0727
Sb C
1 2
Direct
0.0000 0.0000 0.0000
0.3333 0.6667 0.5000
0.6667 0.3333 0.5000
```



[20]
DFT (PBE-GGA) results for crystalline SbC2 at its relaxed geometry.

Output
Crystal system: hexagonal
Energy relative to the elements, uncorrected (eV per atom): 1.098
Magnetization (μB/atom): 0.00
Space group: No. 189

Cell and atoms, written as POSCAR:
```
SbC2
1.0
3.9960 -6.9213 0.0000
3.9960 6.9213 0.0000
0.0000 0.0000 2.6436
Sb C
3 6
Direct
0.3333 0.6667 0.0000
0.6667 0.3333 0.0000
0.0000 0.0000 0.5000
0.3531 0.0000 0.0000
0.0000 0.3531 0.0000
0.6469 0.6469 0.0000
0.2826 0.0000 0.5000
0.0000 0.2826 0.5000
0.7174 0.7174 0.5000
```